# ReHg2Sb | Alexandria via LeMat-Bulk | GGA-PBEsol | relaxed
# formation energy without anion corrections	2.2	eV per formula unit
# M_tot	0.0	μB per formula unit
# crystal system	orthorhombic
# density	13.8	g/cm3
data_ReHg2Sb
_chemical_formula_sum 'Re1 Hg2 Sb1'
_cell_length_a 2.986
_cell_length_b 2.986
_cell_length_c 10.756
_cell_angle_alpha 90.00
_cell_angle_beta 90.00
_cell_angle_gamma 117.48
_symmetry_space_group_name_H-M 'P 1'
_symmetry_Int_Tables_number 1
loop_
_symmetry_equiv_pos_as_xyz
'x,y,z'
loop_
_atom_site_label
_atom_site_type_symbol
_atom_site_fract_x
_atom_site_fract_y
_atom_site_fract_z
Hg1 Hg 0.000 0.000 0.984
Hg2 Hg 0.500 0.500 0.721
Re1 Re 0.000 0.000 0.499
Sb1 Sb 0.500 0.500 0.296

=====

# CuOsRh2 | Alexandria via LeMat-Bulk | GGA-PBEsol | relaxed
# M_tot	2.1	μB per formula unit
# crystal system	cubic
# density	14.1	g/cm3
# E above lowest polymorph	385	meV per atom
# ΔE_f	409	meV per atom
data_CuOsRh2
_chemical_formula_sum 'Cu1 Os1 Rh2'
_cell_length_a 4.246
_cell_length_b 4.246
_cell_length_c 4.246
_cell_angle_alpha 60.00
_cell_angle_beta 60.00
_cell_angle_gamma 60.00
_symmetry_space_group_name_H-M 'P 1'
_symmetry_Int_Tables_number 1
loop_
_symmetry_equiv_pos_as_xyz
'x,y,z'
loop_
_atom_site_label
_atom_site_type_symbol
_atom_site_fract_x
_atom_site_fract_y
_atom_site_fract_z
Cu1 Cu 0.000 0.000 0.000
Os1 Os 0.500 0.500 0.500
Rh1 Rh 0.250 0.250 0.250
Rh2 Rh 0.750 0.750 0.750

=====

# CdHg2Br2 | Alexandria via LeMat-Bulk | GGA-PBEsol | relaxed
# formation energy without anion corrections	0.7	eV per formula unit
# M_tot	0.0	μB per formula unit
# crystal system	tetragonal
# density	7.0	g/cm3
data_CdHg2Br2
_chemical_formula_sum 'Cd1 Hg2 Br2'
_cell_length_a 5.486
_cell_length_b 5.486
_cell_length_c 6.563
_cell_angle_alpha 114.71
_cell_angle_beta 114.71
_cell_angle_gamma 90.00
_symmetry_space_group_name_H-M 'P 1'
_symmetry_Int_Tables_number 1
loop_
_symmetry_equiv_pos_as_xyz
'x,y,z'
loop_
_atom_site_label
_atom_site_type_symbol
_atom_site_fract_x
_atom_site_fract_y
_atom_site_fract_z
Br1 Br 0.663 0.663 0.327
Br2 Br 0.337 0.337 0.673
Cd1 Cd 0.000 0.000 0.000
Hg1 Hg 0.250 0.750 0.500
Hg2 Hg 0.750 0.250 0.500

=====

# LaY2HgC | Alexandria via LeMat-Bulk | GGA-PBEsol | relaxed
# M_tot	0.0	μB per formula unit
# crystal system	tetragonal
# density	7.4	g/cm3
# ΔE_f	130	meV per atom
data_LaY2HgC
_chemical_formula_sum 'La1 Y2 Hg1 C1'
_cell_length_a 4.882
_cell_length_b 4.882
_cell_length_c 4.962
_cell_angle_alpha 90.00
_cell_angle_beta 90.00
_cell_angle_gamma 90.00
_symmetry_space_group_name_H-M 'P 1'
_symmetry_Int_Tables_number 1
loop_
_symmetry_equiv_pos_as_xyz
'x,y,z'
loop_
_atom_site_label
_atom_site_type_symbol
_atom_site_fract_x
_atom_site_fract_y
_atom_site_fract_z
Y1 Y 0.000 0.500 0.000
Y2 Y 0.500 0.000 0.000
C1 C 0.000 0.000 0.000
Hg1 Hg 0.000 0.000 0.500
La1 La 0.500 0.500 0.500

=====

> Which of these has the highest M_tot?

CuOsRh2